Record 1
Entry from the Alexandria database: crystalline HfZr5P6 at its relaxed geometry (PBE).

Values from the calculation:
* energy relative to the elements: -1.32 eV/atom
* size of the total moment: 0.000 μB per atom
* DOS at the Fermi energy: 4.519 states/eV/cell

a b c (Å): 6.4847 6.4592 6.4823
angles (deg): 60.12 80.41 70.47
Closest atoms and distances in Å follow each position.
Sites, in units of the cell vectors:
1 P 0.2481 0.5874 0.3295  1 Hf 2.62, 5 Zr 2.64-2.65
2 P 0.7519 0.4126 0.6705  1 Hf 2.62, 5 Zr 2.64-2.65
3 P 0.7519 0.0831 0.3295  1 Hf 2.62, 5 Zr 2.64-2.65
4 P 0.2491 0.2472 0.0000  1 Hf 2.62, 5 Zr 2.66
5 Hf 0.0000 0.0000 0.0000  6 P 2.62
6 Zr 0.0000 0.3323 0.3353  6 P 2.64-2.66
7 Zr 0.5000 0.8308 0.3385  6 P 2.64-2.66
8 Zr 0.0000 0.6677 0.6647  6 P 2.64-2.66
9 Zr 0.5000 0.5000 0.0000  6 P 2.64-2.66
10 P 0.2481 0.9169 0.6705  1 Hf 2.62, 5 Zr 2.64-2.65
11 P 0.7509 0.7528 0.0000  1 Hf 2.62, 5 Zr 2.66
12 Zr 0.5000 0.1692 0.6615  6 P 2.64-2.66

=====

Record 2
Entry from the Alexandria database: crystalline TlCrCoSe3 at its relaxed geometry (PBE).

Values from the calculation:
* uncorrected formation energy: -407 meV/atom
* size of the total moment: 0.101 μB per atom
* DOS at the Fermi energy: 5.129 states/eV/cell

a b c (Å): 3.6599 8.1897 10.0395
angles (deg): 116.26 90.00 90.00
Closest atoms and distances in Å follow each position.
Sites, in units of the cell vectors:
1 Tl 0.7500 0.7221 0.7186  7 Se 3.22-3.57
2 Se 0.7500 0.2371 0.5641  3 Co 2.36-2.38, 1 Cr 2.51
3 Cr 0.7500 0.3062 0.8340  6 Se 2.51-2.56
4 Se 0.7500 0.4573 0.1178  3 Cr 2.55-2.56
5 Se 0.7500 0.9013 0.1600  1 Co 2.33, 2 Cr 2.52
6 Co 0.7500 0.9203 0.3988  4 Se 2.33-2.38
7 Co 0.2500 0.0797 0.6012  4 Se 2.33-2.38
8 Tl 0.2500 0.2779 0.2814  7 Se 3.22-3.57
9 Cr 0.2500 0.6938 0.1660  6 Se 2.51-2.56
10 Se 0.2500 0.7629 0.4359  3 Co 2.36-2.38, 1 Cr 2.51
11 Se 0.2500 0.5427 0.8822  3 Cr 2.55-2.56
12 Se 0.2500 0.0987 0.8400  1 Co 2.33, 2 Cr 2.52

=====

Record 3
Entry from the Alexandria database: crystalline NaPu2TaO8 at its relaxed geometry (PBE).

Values from the calculation:
* uncorrected formation energy: -2644 meV/atom
* size of the total moment: 0.500 μB per atom
* DOS at the Fermi energy: 9.016 states/eV/cell

a b c (Å): 4.9328 4.9325 6.8351
angles (deg): 90.00 90.00 89.09
Closest atoms and distances in Å follow each position.
Sites, in units of the cell vectors:
1 O 0.1967 0.8029 0.7878  1 Ta 1.99, 1 Pu 2.11
2 O 0.3249 0.3246 0.5000  2 Pu 2.11, 1 Na 2.28
3 O 0.7068 0.7073 0.0000  1 Ta 2.06, 2 Pu 2.24
4 Ta 0.0000 0.0000 0.0000  6 O 1.99-2.06
5 Na 0.0000 0.0000 0.5000  6 O 2.28-2.39
6 O 0.1966 0.8029 0.2122  1 Ta 1.99, 1 Pu 2.11
7 Pu 0.5000 0.5000 0.7504  6 O 2.11-2.24
8 O 0.8034 0.1971 0.7878  1 Ta 1.99, 1 Pu 2.11
9 O 0.8033 0.1971 0.2122  1 Ta 1.99, 1 Pu 2.11
10 O 0.6751 0.6754 0.5000  2 Pu 2.11, 1 Na 2.28
11 O 0.2932 0.2927 0.0000  1 Ta 2.06, 2 Pu 2.24
12 Pu 0.5000 0.5000 0.2496  6 O 2.11-2.24

=====

Record 4
Entry from the Alexandria database: crystalline DyHo4Zn4 at its relaxed geometry (PBE).

Values from the calculation:
* energy relative to the elements: -0.06 eV/atom
* size of the total moment: 0.000 μB per atom
* DOS at the Fermi energy: 24.681 states/eV/cell

a b c (Å): 5.9211 8.9363 8.9363
angles (deg): 90.00 90.00 90.00
Closest atoms and distances in Å follow each position.
Sites, in units of the cell vectors:
1 Ho 0.6097 0.9105 0.6880  5 Zn 2.88-3.12
2 Zn 0.3758 0.3678 0.2278  1 Zn 2.61, 1 Dy 2.80, 2 Ho 2.88-2.92
3 Dy 0.0000 0.0000 0.0000  4 Zn 2.80
4 Dy 0.5000 0.5000 0.5000  4 Zn 2.80
5 Zn 0.3758 0.6322 0.7722  1 Zn 2.61, 1 Dy 2.80, 2 Ho 2.88-2.92
6 Ho 0.6097 0.0895 0.3120  5 Zn 2.88-3.12
7 Ho 0.1097 0.8120 0.4105  5 Zn 2.88-3.12
8 Zn 0.1242 0.1322 0.2722  1 Zn 2.61, 1 Dy 2.80, 2 Ho 2.88-2.92
9 Zn 0.6242 0.7722 0.3678  1 Zn 2.61, 1 Dy 2.80, 2 Ho 2.88-2.92
10 Zn 0.8758 0.7278 0.1322  1 Zn 2.61, 1 Dy 2.80, 2 Ho 2.88-2.92
11 Ho 0.1097 0.1880 0.5895  5 Zn 2.88-3.12
12 Zn 0.6242 0.2278 0.6322  1 Zn 2.61, 1 Dy 2.80, 2 Ho 2.88-2.92
13 Ho 0.8903 0.4105 0.1880  5 Zn 2.88-3.12
14 Ho 0.8903 0.5895 0.8120  5 Zn 2.88-3.12
15 Ho 0.3903 0.3120 0.9105  5 Zn 2.88-3.12
16 Zn 0.1242 0.8678 0.7278  1 Zn 2.61, 1 Dy 2.80, 2 Ho 2.88-2.92
17 Ho 0.3903 0.6880 0.0895  5 Zn 2.88-3.12
18 Zn 0.8758 0.2722 0.8678  1 Zn 2.61, 1 Dy 2.80, 2 Ho 2.88-2.92

=====

Record 5
Entry from the Alexandria database: crystalline PmTlCuAu at its relaxed geometry (PBE).

Values from the calculation:
* energy relative to the elements: -0.34 eV/atom
* size of the total moment: 0.000 μB per atom
* DOS at the Fermi energy: 2.618 states/eV/cell

a b c (Å): 4.9666 4.9666 4.9666
angles (deg): 60.00 60.00 60.00
Closest atoms and distances in Å follow each position.
Sites, in units of the cell vectors:
1 Au 0.2500 0.2500 0.2500  4 Tl 3.04, 4 Pm 3.04
2 Pm 0.0000 0.0000 0.0000  4 Au 3.04, 4 Cu 3.04
3 Tl 0.5000 0.5000 0.5000  4 Cu 3.04, 4 Au 3.04
4 Cu 0.7500 0.7500 0.7500  4 Tl 3.04, 4 Pm 3.04

=====

Record 6
Entry from the Alexandria database: crystalline Ba4IrW at its relaxed geometry (PBE).

Values from the calculation:
* energy relative to the elements: 1.67 eV/atom
* size of the total moment: 0.751 μB per atom
* DOS at the Fermi energy: 7.286 states/eV/cell

a b c (Å): 6.7086 6.7086 6.7086
angles (deg): 60.00 60.00 60.00
Closest atoms and distances in Å follow each position.
Sites, in units of the cell vectors:
1 W 0.0000 0.0000 0.0000  12 Ba 3.93, 4 Ir 4.11
2 Ba 0.8736 0.3755 0.3755  6 Ba 3.34-3.37
3 Ba 0.3755 0.8736 0.3755  6 Ba 3.34-3.37
4 Ba 0.3755 0.3755 0.3755  6 Ba 3.34-3.37
5 Ba 0.3755 0.3755 0.8736  6 Ba 3.34-3.37
6 Ir 0.7500 0.7500 0.7500  12 Ba 3.93, 4 W 4.11

=====

Record 7
Entry from the Alexandria database: crystalline Rb2Sn2Bi at its relaxed geometry (PBE).

Values from the calculation:
* energy relative to the elements: -0.16 eV/atom
* offset from the most stable computed form: 0.0187 eV/atom
* size of the total moment: 0.000 μB per atom
* DOS at the Fermi energy: 7.745 states/eV/cell

a b c (Å): 8.1883 8.1883 6.0255
angles (deg): 90.00 90.00 90.00
Closest atoms and distances in Å follow each position.
Sites, in units of the cell vectors:
1 Sn 0.6211 0.1211 0.0000  1 Sn 2.81
2 Bi 0.5000 0.5000 0.0000  4 Sn 3.26
3 Rb 0.1873 0.6873 0.5000  6 Sn 3.74-3.97
4 Rb 0.8127 0.3127 0.5000  6 Sn 3.74-3.97
5 Rb 0.6873 0.8127 0.5000  6 Sn 3.74-3.97
6 Sn 0.8789 0.6211 0.0000  1 Sn 2.81
7 Sn 0.3789 0.8789 0.0000  1 Sn 2.81
8 Rb 0.3127 0.1873 0.5000  6 Sn 3.74-3.97
9 Bi 0.0000 0.0000 0.0000  4 Sn 3.26
10 Sn 0.1211 0.3789 0.0000  1 Sn 2.81

=====

Record 8
Entry from the Alexandria database: crystalline Ti4Al5V2 at its relaxed geometry (PBE).

Values from the calculation:
* energy relative to the elements: -0.21 eV/atom
* size of the total moment: 0.000 μB per atom
* DOS at the Fermi energy: 9.553 states/eV/cell

a b c (Å): 2.8951 7.0303 8.8449
angles (deg): 98.86 90.00 90.00
Closest atoms and distances in Å follow each position.
Sites, in units of the cell vectors:
1 Ti 0.5000 0.1645 0.8626  2 V 2.62, 8 Al 2.82-2.93, 2 Ti 2.90
2 Al 0.0000 0.8190 0.8515  4 Al 2.77-2.90, 1 V 2.80, 6 Ti 2.82-2.92
3 Ti 0.5000 0.8355 0.1374  2 V 2.62, 8 Al 2.82-2.93, 2 Ti 2.90
4 Al 0.0000 0.1810 0.1485  4 Al 2.77-2.90, 1 V 2.80, 6 Ti 2.82-2.92
5 V 0.0000 0.0466 0.6188  1 V 2.10
6 Ti 0.5000 0.7094 0.5644  4 V 2.76-2.92, 6 Al 2.80-2.92, 3 Ti 2.90-2.99
7 Al 0.0000 0.4331 0.6993  4 Al 2.63-2.90, 1 V 2.70, 6 Ti 2.80-2.93
8 Al 0.0000 0.5000 0.0000  6 Al 2.63-2.90, 4 Ti 2.87
9 Ti 0.5000 0.2906 0.4356  4 V 2.76-2.92, 6 Al 2.80-2.92, 3 Ti 2.90-2.99
10 Al 0.0000 0.5669 0.3007  4 Al 2.63-2.90, 1 V 2.70, 6 Ti 2.80-2.93
11 V 0.0000 0.9534 0.3812  1 V 2.10

=====

Record 9
Entry from the Alexandria database: crystalline B5C7 at its relaxed geometry (PBE).

Values from the calculation:
* energy relative to the elements: 0.34 eV/atom
* offset from the most stable computed form: 0.0792 eV/atom
* size of the total moment: 0.000 μB per atom
* DOS at the Fermi energy: 1.812 states/eV/cell

a b c (Å): 6.9727 7.2401 7.2401
angles (deg): 159.78 141.35 44.19
Closest atoms and distances in Å follow each position.
Sites, in units of the cell vectors:
1 C 0.6123 0.2938 0.3185  2 C 1.55, 2 B 1.61-1.66
2 B 0.0886 0.1090 0.9796  1 C 1.54
3 B 0.5545 0.1751 0.3794  3 C 1.57-1.61
4 C 0.6071 0.6192 0.9879  1 C 1.50, 3 B 1.57-1.63
5 B 0.9807 0.6751 0.3056  2 C 1.58-1.63
6 C 0.1330 0.4619 0.6712  3 C 1.53-1.54, 1 B 1.68
7 C 0.1467 0.7947 0.3520  1 C 1.52, 3 B 1.58-1.66
8 B 0.6338 0.9582 0.6756  4 C 1.67-1.70
9 C 0.0159 0.9940 0.0218  2 C 1.53, 2 B 1.54-1.67
10 C 0.4876 0.5051 0.9826  2 C 1.50-1.54
11 B 0.9938 0.3342 0.6596  4 C 1.66-1.68
12 C 0.4961 0.8298 0.6662  3 C 1.52-1.55, 1 B 1.69

=====

Record 10
Entry from the Alexandria database: crystalline ZnCd2Co at its relaxed geometry (PBE).

Values from the calculation:
* energy relative to the elements: 0.24 eV/atom
* size of the total moment: 0.303 μB per atom
* DOS at the Fermi energy: 4.969 states/eV/cell

a b c (Å): 2.9241 2.9241 7.9888
angles (deg): 90.00 90.00 90.07
Closest atoms and distances in Å follow each position.
Sites, in units of the cell vectors:
1 Co 0.5000 0.5000 0.2500  8 Cd 2.76, 4 Co 2.92
2 Cd 0.0000 0.0000 0.0212  4 Co 2.76, 4 Cd 2.92, 4 Zn 2.99-3.00
3 Cd 0.0000 0.0000 0.4788  4 Co 2.76, 4 Cd 2.92, 4 Zn 2.99-3.00
4 Zn 0.5000 0.5000 0.7500  4 Zn 2.92, 8 Cd 2.99-3.00

=====

Record 11
Entry from the Alexandria database: crystalline DyTm2Pt at its relaxed geometry (PBE).

Values from the calculation:
* energy relative to the elements: -0.70 eV/atom
* offset from the most stable computed form: 0.0382 eV/atom
* size of the total moment: 0.000 μB per atom
* DOS at the Fermi energy: 10.187 states/eV/cell

a b c (Å): 3.7561 6.3397 9.2239
angles (deg): 90.00 90.00 107.29
Closest atoms and distances in Å follow each position.
Sites, in units of the cell vectors:
1 Pt 0.2420 0.4836 0.2500  4 Tm 2.85, 2 Dy 2.98
2 Tm 0.6372 0.2739 0.0631  2 Pt 2.85
3 Tm 0.6372 0.2739 0.4369  2 Pt 2.85
4 Tm 0.3628 0.7261 0.5631  2 Pt 2.85
5 Pt 0.7580 0.5164 0.7500  4 Tm 2.85, 2 Dy 2.98
6 Dy 0.0671 0.1340 0.7500  2 Pt 2.98
7 Tm 0.3628 0.7261 0.9369  2 Pt 2.85
8 Dy 0.9329 0.8660 0.2500  2 Pt 2.98

=====

Which value of DOS at the Fermi energy does entry 4 give?
24.681 states/eV/cell